Record 1
{"formula": "RbCeHg2I8", "functional": "PBE", "state": "relaxed", "formation_energy_uncorrected_ev_per_atom": -0.823, "energy_ev_per_atom": -2.482, "volume_a3_per_atom": 52.28, "lattice": [[7.830, 0.000, 0.000], [0.777, 8.367, 0.000], [1.344, 4.077, 9.575]], "species": ["Rb", "Ce", "Hg", "Hg", "I", "I", "I", "I", "I", "I", "I", "I"], "fractional_positions": [[0.000, 0.000, 0.000], [0.000, 0.500, 0.500], [0.467, 0.531, 0.803], [0.533, 0.469, 0.197], [0.109, 0.477, 0.793], [0.153, 0.854, 0.343], [0.347, 0.288, 0.451], [0.438, 0.767, 0.962], [0.562, 0.233, 0.038], [0.653, 0.712, 0.549], [0.847, 0.146, 0.657], [0.891, 0.523, 0.207]]}



Record 2
{"formula": "RbCeHgI6", "functional": "PBE", "state": "relaxed", "formation_energy_uncorrected_ev_per_atom": -0.997, "energy_ev_per_atom": -2.831, "volume_a3_per_atom": 50.54, "lattice": [[8.093, 0.000, 0.000], [-4.046, 7.009, 0.000], [0.000, 0.000, 16.038]], "species": ["Rb", "Rb", "Ce", "Ce", "Hg", "Hg", "I", "I", "I", "I", "I", "I", "I", "I", "I", "I", "I", "I"], "fractional_positions": [[0.000, 0.000, 0.000], [0.000, 0.000, 0.500], [0.333, 0.667, 0.250], [0.667, 0.333, 0.750], [0.333, 0.667, 0.750], [0.667, 0.333, 0.250], [0.002, 0.378, 0.637], [0.002, 0.624, 0.863], [0.376, 0.378, 0.863], [0.376, 0.998, 0.637], [0.378, 0.002, 0.137], [0.378, 0.376, 0.363], [0.622, 0.624, 0.637], [0.622, 0.998, 0.863], [0.624, 0.002, 0.363], [0.624, 0.622, 0.137], [0.998, 0.376, 0.137], [0.998, 0.622, 0.363]]}



Record 3
{"formula": "CeSn2HgI8", "functional": "PBE", "state": "relaxed", "formation_energy_uncorrected_ev_per_atom": -0.673, "energy_ev_per_atom": -2.893, "volume_a3_per_atom": 45.38, "lattice": [[7.396, 0.000, 0.000], [0.195, 7.840, 0.000], [0.009, 0.005, 9.393]], "species": ["Ce", "Sn", "Sn", "Hg", "I", "I", "I", "I", "I", "I", "I", "I"], "fractional_positions": [[0.000, 0.000, 0.000], [0.500, 0.500, 0.258], [0.500, 0.500, 0.742], [0.000, 0.000, 0.500], [0.240, 0.323, 0.000], [0.246, 0.838, 0.234], [0.246, 0.838, 0.766], [0.273, 0.350, 0.500], [0.727, 0.650, 0.500], [0.754, 0.162, 0.234], [0.754, 0.162, 0.766], [0.760, 0.677, 0.000]]}



Record 4
{"formula": "CeSnHgI6", "functional": "PBE", "state": "relaxed", "formation_energy_uncorrected_ev_per_atom": -0.805, "energy_ev_per_atom": -2.976, "volume_a3_per_atom": 55.73, "lattice": [[7.985, 0.000, 0.000], [-3.993, 6.915, 0.000], [0.000, 0.000, 9.082]], "species": ["Ce", "Sn", "Hg", "I", "I", "I", "I", "I", "I"], "fractional_positions": [[0.000, 0.000, 0.000], [0.333, 0.667, 0.000], [0.667, 0.333, 0.500], [0.021, 0.322, 0.806], [0.021, 0.699, 0.194], [0.301, 0.322, 0.194], [0.301, 0.979, 0.806], [0.678, 0.699, 0.806], [0.678, 0.979, 0.194]]}



Record 5
{"formula": "CeZnHgI6", "functional": "PBE", "state": "relaxed", "formation_energy_uncorrected_ev_per_atom": -0.752, "energy_ev_per_atom": -2.620, "volume_a3_per_atom": 50.20, "lattice": [[7.479, 0.000, 0.000], [-3.740, 6.477, 0.000], [0.000, 0.000, 9.326]], "species": ["Ce", "Zn", "Hg", "I", "I", "I", "I", "I", "I"], "fractional_positions": [[0.000, 0.000, 0.000], [0.333, 0.667, 0.000], [0.667, 0.333, 0.500], [0.028, 0.349, 0.184], [0.028, 0.679, 0.816], [0.321, 0.349, 0.816], [0.321, 0.972, 0.184], [0.651, 0.679, 0.184], [0.651, 0.972, 0.816]]}



Record 6
{"formula": "Ce3InHg", "functional": "PBE", "state": "relaxed", "energy_ev_per_atom": -4.308, "volume_a3_per_atom": 28.70, "ef_kj_per_mol_atoms": -13.48, "lattice": [[5.270, -8.271, 0.000], [5.270, 8.271, 0.000], [0.000, 0.000, 3.292]], "species": ["Ce", "Ce", "Ce", "Ce", "Ce", "Ce", "In", "In", "Hg", "Hg"], "fractional_positions": [[0.179, 0.345, 0.000], [0.190, 0.810, 0.000], [0.345, 0.179, 0.000], [0.655, 0.821, 0.000], [0.810, 0.190, 0.000], [0.821, 0.655, 0.000], [0.000, 0.000, 0.500], [0.500, 0.500, 0.500], [0.000, 0.500, 0.500], [0.500, 0.000, 0.500]]}



Record 7
{"formula": "Ce3In2Hg", "functional": "PBE", "state": "relaxed", "energy_ev_per_atom": -4.274, "volume_a3_per_atom": 26.55, "ef_kj_per_mol_atoms": -33.19, "lattice": [[3.346, 0.000, 0.000], [0.000, 3.346, 0.000], [0.000, 0.000, 14.231]], "species": ["Ce", "Ce", "Ce", "In", "In", "Hg"], "fractional_positions": [[0.000, 0.000, 0.000], [0.000, 0.000, 0.337], [0.000, 0.000, 0.663], [0.500, 0.500, 0.169], [0.500, 0.500, 0.831], [0.500, 0.500, 0.500]]}



Record 8
{"formula": "Ce3In2Hg6", "functional": "PBE", "state": "relaxed", "energy_ev_per_atom": -2.467, "volume_a3_per_atom": 27.34, "ef_kj_per_mol_atoms": -17.96, "lattice": [[-2.297, 2.297, 14.244], [2.297, -2.297, 14.244], [2.297, 2.297, -14.244]], "species": ["Ce", "Ce", "Ce", "In", "In", "Hg", "Hg", "Hg", "Hg", "Hg", "Hg"], "fractional_positions": [[0.000, 0.000, 0.000], [0.200, 0.200, 0.000], [0.800, 0.800, 0.000], [0.451, 0.451, 0.000], [0.549, 0.549, 0.000], [0.114, 0.614, 0.500], [0.312, 0.312, 0.000], [0.386, 0.886, 0.500], [0.614, 0.114, 0.500], [0.688, 0.688, 0.000], [0.886, 0.386, 0.500]]}



Record 9
{"formula": "Ce2In9Hg", "functional": "PBE", "state": "relaxed", "energy_ev_per_atom": -3.297, "volume_a3_per_atom": 26.38, "ef_kj_per_mol_atoms": -22.06, "lattice": [[4.652, 0.000, 0.000], [0.000, 4.652, 0.000], [0.000, 0.000, 14.629]], "species": ["Ce", "Ce", "In", "In", "In", "In", "In", "In", "In", "In", "In", "Hg"], "fractional_positions": [[0.000, 0.000, 0.163], [0.000, 0.000, 0.837], [0.000, 0.500, 0.000], [0.000, 0.500, 0.330], [0.000, 0.500, 0.670], [0.500, 0.000, 0.000], [0.500, 0.000, 0.330], [0.500, 0.000, 0.670], [0.500, 0.500, 0.159], [0.500, 0.500, 0.500], [0.500, 0.500, 0.841], [0.000, 0.000, 0.500]]}



Record 10
{"formula": "Ce6In2Hg", "functional": "PBE", "state": "relaxed", "relative_energy_mev_per_atom": 19, "energy_ev_per_atom": -4.773, "volume_a3_per_atom": 28.15, "ef_kj_per_mol_atoms": -16.87, "lattice": [[9.203, 0.000, 0.000], [-4.602, 7.970, 0.000], [0.000, 0.000, 3.454]], "species": ["Ce", "Ce", "Ce", "Ce", "Ce", "Ce", "In", "In", "Hg"], "fractional_positions": [[0.000, 0.381, 0.000], [0.000, 0.709, 0.500], [0.291, 0.291, 0.500], [0.381, 0.000, 0.000], [0.619, 0.619, 0.000], [0.709, 0.000, 0.500], [0.333, 0.667, 0.500], [0.667, 0.333, 0.500], [0.000, 0.000, 0.000]]}



Record 11
{"formula": "Ce2In3Hg5", "functional": "PBE", "state": "relaxed", "energy_ev_per_atom": -2.313, "volume_a3_per_atom": 26.70, "ef_kj_per_mol_atoms": -14.82, "lattice": [[-6.076, 6.622, 3.318], [6.076, -6.622, 3.318], [6.076, 6.622, -3.318]], "species": ["Ce", "Ce", "Ce", "Ce", "In", "In", "In", "In", "In", "In", "Hg", "Hg", "Hg", "Hg", "Hg", "Hg", "Hg", "Hg", "Hg", "Hg"], "fractional_positions": [[0.127, 0.235, 0.362], [0.373, 0.735, 0.108], [0.627, 0.265, 0.892], [0.873, 0.765, 0.638], [0.133, 0.871, 0.004], [0.250, 0.750, 0.500], [0.367, 0.371, 0.738], [0.633, 0.629, 0.262], [0.750, 0.250, 0.500], [0.867, 0.129, 0.996], [0.014, 0.750, 0.264], [0.115, 0.650, 0.765], [0.250, 0.250, 0.000], [0.385, 0.150, 0.534], [0.486, 0.750, 0.736], [0.514, 0.250, 0.264], [0.615, 0.850, 0.466], [0.750, 0.750, 0.000], [0.885, 0.350, 0.235], [0.986, 0.250, 0.736]]}



Record 12
{"formula": "Ce2In2Hg", "functional": "PBE", "state": "relaxed", "relative_energy_mev_per_atom": 0, "energy_ev_per_atom": -3.743, "volume_a3_per_atom": 28.44, "ef_kj_per_mol_atoms": -20.62, "lattice": [[4.491, 0.000, 0.000], [0.000, 6.552, 0.000], [0.000, 0.000, 9.665]], "species": ["Ce", "Ce", "Ce", "Ce", "In", "In", "In", "In", "Hg", "Hg"], "fractional_positions": [[0.000, 0.000, 0.212], [0.000, 0.000, 0.788], [0.500, 0.500, 0.288], [0.500, 0.500, 0.712], [0.000, 0.277, 0.500], [0.000, 0.723, 0.500], [0.500, 0.223, 0.000], [0.500, 0.777, 0.000], [0.000, 0.500, 0.000], [0.500, 0.000, 0.500]]}